First-principles (PBE) data for a relaxed structure of Th6Ge2Te3Se, as listed in the Alexandria database.

a = 7.4822 Å, b = 7.4822 Å, c = 7.7711 Å
α = 99.24°, β = 99.24°, γ = 120.06°
Closest atoms and distances in Å follow each position.
Fractional coordinates of all 12 atoms:
1 Th 0.0722 0.4061 0.2180  2 Ge 2.97, 1 Se 2.97, 3 Te 3.23-3.25
2 Th 0.2602 0.2602 0.7805  2 Ge 2.97, 1 Se 2.97, 3 Te 3.24-3.25
3 Th 0.4061 0.0722 0.2180  2 Ge 2.97, 1 Se 2.97, 3 Te 3.23-3.25
4 Th 0.5939 0.9278 0.7820  2 Ge 2.97, 1 Se 2.97, 3 Te 3.23-3.25
5 Th 0.7398 0.7398 0.2195  2 Ge 2.97, 1 Se 2.97, 3 Te 3.24-3.25
6 Th 0.9278 0.5939 0.7820  2 Ge 2.97, 1 Se 2.97, 3 Te 3.23-3.25
7 Ge 0.3339 0.6661 0.0000  6 Th 2.97
8 Ge 0.6661 0.3339 0.0000  6 Th 2.97
9 Te 0.1681 0.8319 0.5000  6 Th 3.23-3.25
10 Te 0.5000 0.5000 0.5000  6 Th 3.24-3.25
11 Te 0.8319 0.1681 0.5000  6 Th 3.23-3.25
12 Se 0.0000 0.0000 0.0000  6 Th 2.97

- electronic total energy (eV per atom) = -6.665
- calculated volume (A^3/atom) = 29.71


First-principles (PBE) data for a relaxed structure of Tm3Si8Ir3, as listed in the Alexandria database.

a = 7.9786 Å, b = 7.9786 Å, c = 8.4674 Å
α = 120.18°, β = 120.18°, γ = 30.43°
Closest atoms and distances in Å follow each position.
Fractional coordinates of all 14 atoms:
1 Tm 0.0000 0.0000 0.0000  8 Si 2.87-3.15, 4 Ir 3.13
2 Tm 0.2888 0.2888 0.3216  10 Si 2.92-3.19, 2 Ir 3.12
3 Tm 0.7112 0.7112 0.6784  10 Si 2.92-3.19, 2 Ir 3.12
4 Si 0.1203 0.1203 0.3974  2 Si 2.40, 1 Ir 2.42
5 Si 0.1620 0.1620 0.8800  3 Ir 2.42-2.47
6 Si 0.3636 0.3636 0.7245  1 Ir 2.36, 3 Si 2.40-2.48
7 Si 0.4833 0.4833 0.3028  3 Ir 2.42-2.61, 1 Si 2.48
8 Si 0.5167 0.5167 0.6972  3 Ir 2.42-2.61, 1 Si 2.48
9 Si 0.6364 0.6364 0.2755  1 Ir 2.36, 3 Si 2.40-2.48
10 Si 0.8380 0.8380 0.1200  3 Ir 2.42-2.47
11 Si 0.8797 0.8797 0.6026  2 Si 2.40, 1 Ir 2.42
12 Ir 0.0000 0.0000 0.5000  6 Si 2.42-2.61
13 Ir 0.3446 0.3446 0.9838  5 Si 2.36-2.47
14 Ir 0.6554 0.6554 0.0162  5 Si 2.36-2.47

- electronic total energy (eV per atom) = -6.630
- calculated volume (A^3/atom) = 16.65


First-principles (PBE) data for a relaxed structure of Ca2Co4N, as listed in the Alexandria database.

a = 3.8332 Å, b = 3.8332 Å, c = 15.7833 Å
α = 90.00°, β = 90.00°, γ = 90.00°
Closest atoms and distances in Å follow each position.
Fractional coordinates of all 14 atoms:
1 Ca 0.0000 0.0000 0.1663  4 Co 2.83
2 Ca 0.0000 0.0000 0.8337  4 Co 2.83
3 Ca 0.5000 0.5000 0.3337  4 Co 2.83
4 Ca 0.5000 0.5000 0.6663  4 Co 2.83
5 Co 0.0000 0.0000 0.3859  1 N 1.80
6 Co 0.0000 0.0000 0.6141  1 N 1.80
7 Co 0.0000 0.5000 0.0000  2 N 1.92
8 Co 0.0000 0.5000 0.5000  2 N 1.92
9 Co 0.5000 0.0000 0.0000  2 N 1.92
10 Co 0.5000 0.0000 0.5000  2 N 1.92
11 Co 0.5000 0.5000 0.1141  1 N 1.80
12 Co 0.5000 0.5000 0.8859  1 N 1.80
13 N 0.0000 0.0000 0.5000  6 Co 1.80-1.92
14 N 0.5000 0.5000 0.0000  6 Co 1.80-1.92

- electronic total energy (eV per atom) = -5.629
- calculated volume (A^3/atom) = 16.57


First-principles (PBE) data for a relaxed structure of Si2TcNi, as listed in the Alexandria database.

a = 3.0920 Å, b = 3.8177 Å, c = 8.4554 Å
α = 90.00°, β = 90.00°, γ = 90.00°
Closest atoms and distances in Å follow each position.
Fractional coordinates of all 8 atoms:
1 Si 0.0000 0.0000 0.0000  4 Ni 2.46, 2 Tc 2.64, 2 Si 2.70
2 Si 0.0000 0.5000 0.2265  2 Ni 2.34, 4 Tc 2.47
3 Si 0.5000 0.0000 0.7265  2 Ni 2.34, 4 Tc 2.47
4 Si 0.5000 0.5000 0.5000  4 Ni 2.46, 2 Tc 2.64, 2 Si 2.70
5 Tc 0.0000 0.5000 0.7530  6 Si 2.47-2.64, 4 Ni 2.73-2.75
6 Tc 0.5000 0.0000 0.2530  6 Si 2.47-2.64, 4 Ni 2.73-2.75
7 Ni 0.0000 0.0000 0.5191  6 Si 2.34-2.46
8 Ni 0.5000 0.5000 0.0191  6 Si 2.34-2.46

- electronic total energy (eV per atom) = -7.116
- calculated volume (A^3/atom) = 12.48


Per-record total magnetization, μB per cell: 0.000 0.000 8.956 0.000
Per-record formation energy without anion corrections, meV/atom: -1109 -674 193 -367